# 1
A plane-wave DFT calculation with GGA-PBE was carried out for AcZn4Cu2 after structural relaxation.

Summary:
The calculation puts the calculated total energy at -2.400 eV/atom. The energy above the most stable polymorph in this dataset comes out at 0.215 eV per atom. The value obtained for the energy of formation is 0.599 eV/f.u.

Lattice parameters (Å, degrees): 5.8261 5.8261 5.8261 106.89 106.89 114.76
With the nearest neighbours (Å) after each atom.
Sites, in units of the cell vectors:
Ac: 0.0000 0.0000 0.0000  16 Zn 3.58-3.88, 8 Cu 3.81
Zn: 0.5000 0.2516 0.7516  2 Cu 2.35, 2 Zn 2.44
Zn: 0.7484 0.5000 0.2484  2 Cu 2.35, 2 Zn 2.44
Zn: 0.2516 0.5000 0.7516  2 Cu 2.35, 2 Zn 2.44
Zn: 0.5000 0.7484 0.2484  2 Cu 2.35, 2 Zn 2.44
Cu: 0.7500 0.2500 0.5000  4 Zn 2.35
Cu: 0.2500 0.7500 0.5000  4 Zn 2.35

***

# 2
A plane-wave DFT calculation with GGA-PBE was carried out for Ac3Mg9Al2 after structural relaxation.

Summary:
The calculation puts the calculated total energy at -2.524 eV/atom. The value obtained for the energy of formation is -1.174 eV/f.u.

Lattice parameters (Å, degrees): 4.9272 9.3072 9.3072 74.21 74.65 74.65
With the nearest neighbours (Å) after each atom.
Sites, in units of the cell vectors:
Ac: 0.0000 0.0000 0.0000  12 Mg 3.59-3.69
Ac: 0.6899 0.3101 0.3101  2 Al 3.47, 10 Mg 3.59-3.62
Ac: 0.3101 0.6899 0.6899  2 Al 3.47, 10 Mg 3.59-3.62
Mg: 0.0000 0.5000 0.5000  4 Mg 3.00, 4 Al 3.32
Mg: 0.6612 0.9785 0.6991  1 Al 2.90, 4 Mg 2.98-3.16
Mg: 0.3388 0.0215 0.3009  1 Al 2.90, 4 Mg 2.98-3.16
Mg: 0.6612 0.6991 0.9785  1 Al 2.90, 4 Mg 2.98-3.16
Mg: 0.3388 0.3009 0.0215  1 Al 2.90, 4 Mg 2.98-3.16
Mg: 0.8774 0.8414 0.4038  4 Mg 2.98-3.16, 2 Al 3.01
Mg: 0.1226 0.1586 0.5962  4 Mg 2.98-3.16, 2 Al 3.01
Mg: 0.8774 0.4038 0.8414  4 Mg 2.98-3.16, 2 Al 3.01
Mg: 0.1226 0.5962 0.1586  4 Mg 2.98-3.16, 2 Al 3.01
Al: 0.5000 0.3016 0.6984  6 Mg 2.90-3.01
Al: 0.5000 0.6984 0.3016  6 Mg 2.90-3.01

***

# 3
A plane-wave DFT calculation with GGA-PBE was carried out for TlCu2I2Br after structural relaxation.

Summary:
Its formation energy from raw total energies is -348 meV/atom. The calculation puts the calculated total energy at -2.903 eV/atom.

Lattice parameters (Å, degrees): 5.2566 8.9281 10.2802 113.09 90.00 90.00
With the nearest neighbours (Å) after each atom.
Sites, in units of the cell vectors:
Tl: 0.7500 0.3094 0.5685  6 I 3.47-3.67
Tl: 0.2500 0.6906 0.4315  6 I 3.47-3.67
Cu: 0.5006 0.1261 0.1713  2 Br 2.56, 2 I 2.62-2.64, 2 Cu 2.62-2.63
Cu: 0.9994 0.1261 0.1713  2 Br 2.56, 2 I 2.62-2.64, 2 Cu 2.62-2.63
Cu: 0.0006 0.8739 0.8287  2 Br 2.56, 2 I 2.62-2.64, 2 Cu 2.62-2.63
Cu: 0.4994 0.8739 0.8287  2 Br 2.56, 2 I 2.62-2.64, 2 Cu 2.62-2.63
I: 0.2500 0.0666 0.3662  2 Cu 2.62
I: 0.2500 0.5956 0.7282  2 Cu 2.64
I: 0.7500 0.9334 0.6338  2 Cu 2.62
I: 0.7500 0.4044 0.2718  2 Cu 2.64
Br: 0.2500 0.1363 0.9610  4 Cu 2.56
Br: 0.7500 0.8637 0.0390  4 Cu 2.56

***

# 4
A plane-wave DFT calculation with GGA-PBE was carried out for NaCrICl2 after structural relaxation.

Summary:
Its formation energy from raw total energies is -983 meV/atom. The calculation puts the calculated total energy at -4.220 eV/atom.

Lattice parameters (Å, degrees): 4.8520 4.8520 5.8778 90.00 90.00 90.00
With the nearest neighbours (Å) after each atom.
Sites, in units of the cell vectors:
I: 0.0000 0.0000 0.5000  2 Cr 2.94
Cr: 0.0000 0.0000 0.0000  4 Cl 2.43
Na: 0.5000 0.5000 0.5000  4 I 3.43, 8 Cl 3.81
Cl: 0.0000 0.5000 0.0000  2 Cr 2.43
Cl: 0.5000 0.0000 0.0000  2 Cr 2.43

***

# 5
A plane-wave DFT calculation with GGA-PBE was carried out for Sm3OsCl2O6 after structural relaxation.

Summary:
Its formation energy from raw total energies is -2124 meV/atom. The calculation puts the calculated total energy at -7.026 eV/atom.

Lattice parameters (Å, degrees): 5.5889 6.6513 6.6916 119.80 82.24 90.00
With the nearest neighbours (Å) after each atom.
Sites, in units of the cell vectors:
Sm: 0.0000 0.5000 0.0000  4 O 2.46, 2 Cl 2.69
Sm: 0.5000 0.5000 0.5000  4 O 2.25-2.35
Sm: 0.5000 0.0000 0.5000  4 O 2.25-2.35
Os: 0.5000 0.0000 0.0000  6 O 1.98-2.08
Cl: 0.1357 0.7128 0.4255  3 Sm 2.69-2.72, 1 O 2.77
Cl: 0.8643 0.2872 0.5745  3 Sm 2.69-2.72, 1 O 2.77
O: 0.7001 0.2901 0.1124  1 Os 2.08
O: 0.2999 0.7099 0.8876  1 Os 2.08
O: 0.6723 0.8380 0.6759  1 Os 1.98
O: 0.3277 0.1620 0.3241  1 Os 1.98
O: 0.2999 0.1777 0.8876  1 Os 2.08
O: 0.7001 0.8223 0.1124  1 Os 2.08

***

# 6
A plane-wave DFT calculation with GGA-PBE was carried out for InMoI3 after structural relaxation.

Summary:
Its formation energy from raw total energies is 708 meV/atom. The calculation puts the calculated total energy at -2.936 eV/atom. The energy above the most stable polymorph in this dataset comes out at 0.627 eV per atom.

Lattice parameters (Å, degrees): 5.9573 5.9573 5.9573 90.00 90.00 90.00
With the nearest neighbours (Å) after each atom.
Sites, in units of the cell vectors:
I: 0.0000 0.5000 0.0000  2 In 2.98
I: 0.0000 0.0000 0.5000  2 In 2.98
I: 0.5000 0.0000 0.0000  2 In 2.98
Mo: 0.5000 0.5000 0.5000  12 I 4.21
In: 0.0000 0.0000 0.0000  6 I 2.98

***

# 7
A plane-wave DFT calculation with GGA-PBE was carried out for NdPaMn2 after structural relaxation.

Summary:
The calculation puts the calculated total energy at -7.697 eV/atom. The value obtained for the energy of formation is 1.814 eV/f.u.

Lattice parameters (Å, degrees): 3.3610 3.3610 8.4394 78.51 78.51 60.00
With the nearest neighbours (Å) after each atom.
Sites, in units of the cell vectors:
Pa: 0.0000 0.0000 0.0000  6 Mn 2.61
Nd: 0.5000 0.5000 0.5000  6 Mn 3.05, 6 Nd 3.36
Mn: 0.7377 0.7377 0.7869  3 Pa 2.61
Mn: 0.2623 0.2623 0.2131  3 Pa 2.61

***

# 8
A plane-wave DFT calculation with GGA-PBE was carried out for CoTeAu2 after structural relaxation.

Summary:
Its formation energy from raw total energies is 371 meV/atom. The calculation puts the calculated total energy at -3.829 eV/atom.

Lattice parameters (Å, degrees): 5.0985 5.0985 5.0985 131.28 131.28 71.36
With the nearest neighbours (Å) after each atom.
Sites, in units of the cell vectors:
Au: 0.0000 0.0000 0.0000  4 Te 2.95, 4 Au 2.95, 4 Co 2.97
Au: 0.2500 0.7500 0.5000  4 Au 2.95, 4 Co 2.95, 4 Te 2.97
Co: 0.5000 0.5000 0.0000  4 Te 2.95, 8 Au 2.95-2.97
Te: 0.7500 0.2500 0.5000  4 Co 2.95, 8 Au 2.95-2.97

***

# 9
A plane-wave DFT calculation with GGA-PBE was carried out for Ca2AsPb after structural relaxation.

Summary:
The calculation puts the calculated total energy at -3.685 eV/atom. The energy above the most stable polymorph in this dataset comes out at 0.143 eV per atom. The value obtained for the energy of formation is -2.380 eV/f.u.

Lattice parameters (Å, degrees): 5.3739 5.3739 5.3739 60.00 60.00 60.00
With the nearest neighbours (Å) after each atom.
Sites, in units of the cell vectors:
Pb: 0.5000 0.5000 0.5000  8 Ca 3.29
As: 0.0000 0.0000 0.0000  8 Ca 3.29
Ca: 0.2500 0.2500 0.2500  4 As 3.29, 4 Pb 3.29
Ca: 0.7500 0.7500 0.7500  4 Pb 3.29, 4 As 3.29

***

# 10
A plane-wave DFT calculation with GGA-PBE was carried out for K2TlHg after structural relaxation.

Summary:
The calculation puts the calculated total energy at -1.329 eV/atom. The energy above the most stable polymorph in this dataset comes out at 0.032 eV per atom. The value obtained for the energy of formation is -0.452 eV/f.u.

Lattice parameters (Å, degrees): 5.0394 6.6688 6.6690 60.52 67.82 67.82
With the nearest neighbours (Å) after each atom.
Sites, in units of the cell vectors:
K: 0.0540 0.8796 0.0121  3 Hg 3.54-3.68, 2 Tl 3.90-3.95
K: 0.4459 0.4879 0.6204  3 Hg 3.54-3.68, 2 Tl 3.90-3.95
Tl: 0.2500 0.1879 0.3121  2 Hg 3.00
Hg: 0.7500 0.9447 0.5553  2 Tl 3.00

***

# 11
A plane-wave DFT calculation with GGA-PBE was carried out for LiFe2IrC after structural relaxation.

Summary:
The calculation puts the calculated total energy at -7.320 eV/atom. The value obtained for the energy of formation is 0.323 eV/f.u.

Lattice parameters (Å, degrees): 3.8143 3.8143 4.0118 90.00 90.00 90.00
With the nearest neighbours (Å) after each atom.
Sites, in units of the cell vectors:
C: 0.0000 0.0000 0.0000  4 Fe 1.91, 2 Ir 2.01
Ir: 0.0000 0.0000 0.5000  2 C 2.01
Fe: 0.0000 0.5000 0.0000  2 C 1.91
Fe: 0.5000 0.0000 0.0000  2 C 1.91
Li: 0.5000 0.5000 0.5000  4 Ir 2.70, 8 Fe 2.77

***

# 12
A plane-wave DFT calculation with GGA-PBE was carried out for PrHoSn after structural relaxation.

Summary:
The calculation puts the calculated total energy at -5.070 eV/atom. The energy above the most stable polymorph in this dataset comes out at 0.000 eV per atom. The value obtained for the energy of formation is -1.851 eV/f.u.

Lattice parameters (Å, degrees): 4.6582 4.6582 9.1705 104.71 104.71 90.00
With the nearest neighbours (Å) after each atom.
Sites, in units of the cell vectors:
Pr: 0.3236 0.3236 0.6473  5 Sn 3.29-3.38
Pr: 0.6764 0.6764 0.3527  5 Sn 3.29-3.38
Ho: 0.5000 0.0000 0.0000  4 Sn 3.24, 4 Ho 3.29
Ho: 0.0000 0.5000 0.0000  4 Sn 3.24, 4 Ho 3.29
Sn: 0.8686 0.8686 0.7371  4 Ho 3.24, 5 Pr 3.29-3.38
Sn: 0.1314 0.1314 0.2629  4 Ho 3.24, 5 Pr 3.29-3.38

***

Q: Which formula does entry 7 have?
A: NdPaMn2